PBE-GGA Pu2Al4ZnPd3, optimized geometry; symmetry = P-4m2 (115); ΔH_f (0 K) = -0.54 eV/atom; mass density = 8.6 g/cm³; calculated volume = 19.022 A^3/atom; electronic total energy = -65.8 eV for the cell shown
1.0
4.2204 0.0000 0.0000
0.0000 4.2204 0.0000
0.0000 0.0000 10.6791
Pu Al Zn Pd
2 4 1 3
direct
0.0000 0.5000 0.2485 Pu
0.5000 0.0000 0.7515 Pu
0.0000 0.0000 0.5000 Al
0.0000 0.5000 0.8663 Al
0.5000 0.0000 0.1337 Al
0.5000 0.5000 0.5000 Al
0.5000 0.5000 0.0000 Zn
0.0000 0.0000 0.0000 Pd
0.0000 0.5000 0.6326 Pd
0.5000 0.0000 0.3674 Pd

=====

PBE-GGA Pu2Al4Zn3Pd, optimized geometry; symmetry = P-4m2 (115); ΔH_f (0 K) = -0.30 eV/atom; mass density = 7.9 g/cm³; calculated volume = 18.908 A^3/atom; electronic total energy = -55.6 eV for the cell shown
1.0
4.1944 0.0000 0.0000
0.0000 4.1944 0.0000
0.0000 0.0000 10.7478
Pu Al Zn Pd
2 4 3 1
direct
0.0000 0.5000 0.2486 Pu
0.5000 0.0000 0.7514 Pu
0.0000 0.0000 0.5000 Al
0.0000 0.5000 0.8681 Al
0.5000 0.0000 0.1319 Al
0.5000 0.5000 0.5000 Al
0.0000 0.0000 0.0000 Zn
0.0000 0.5000 0.6389 Zn
0.5000 0.0000 0.3611 Zn
0.5000 0.5000 0.0000 Pd

=====

PBE-GGA Rb2Al2Pd, optimized geometry; symmetry = P4/mbm (127); ΔH_f (0 K) = 0.09 eV/atom; mass density = 3.8 g/cm³; calculated volume = 28.766 A^3/atom; electronic total energy = -28.3 eV for the cell shown
1.0
6.7776 0.0000 0.0000
0.0000 6.7776 0.0000
0.0000 0.0000 6.2622
Rb Al Pd
4 4 2
direct
0.1849 0.3151 0.0000 Rb
0.3151 0.8151 0.0000 Rb
0.6849 0.1849 0.0000 Rb
0.8151 0.6849 0.0000 Rb
0.1506 0.6506 0.5000 Al
0.3494 0.1506 0.5000 Al
0.6506 0.8494 0.5000 Al
0.8494 0.3494 0.5000 Al
0.0000 0.0000 0.5000 Pd
0.5000 0.5000 0.5000 Pd

=====

PBE-GGA RbAl2Pd2, optimized geometry; symmetry = I4/mmm (139); ΔH_f (0 K) = -0.33 eV/atom; mass density = 5.0 g/cm³; calculated volume = 23.175 A^3/atom; electronic total energy = -41.0 eV for the cell shown
1.0
4.5520 0.0000 0.0000
0.0000 4.5520 0.0000
0.0000 0.0000 11.1845
Rb Al Pd
2 4 4
direct
0.0000 0.0000 0.0000 Rb
0.5000 0.5000 0.5000 Rb
0.0000 0.0000 0.3464 Al
0.0000 0.0000 0.6536 Al
0.5000 0.5000 0.1536 Al
0.5000 0.5000 0.8464 Al
0.0000 0.5000 0.2500 Pd
0.0000 0.5000 0.7500 Pd
0.5000 0.0000 0.2500 Pd
0.5000 0.0000 0.7500 Pd

=====

PBE-GGA RbAl2Pd2, optimized geometry; symmetry = I4/mmm (139); ΔH_f (0 K) = -0.36 eV/atom; mass density = 4.7 g/cm³; calculated volume = 24.707 A^3/atom; electronic total energy = -41.2 eV for the cell shown
1.0
4.1679 0.0000 0.0000
0.0000 4.1679 0.0000
0.0000 0.0000 14.2230
Rb Al Pd
2 4 4
direct
0.0000 0.0000 0.0000 Rb
0.5000 0.5000 0.5000 Rb
0.0000 0.5000 0.2500 Al
0.0000 0.5000 0.7500 Al
0.5000 0.0000 0.2500 Al
0.5000 0.0000 0.7500 Al
0.0000 0.0000 0.3477 Pd
0.0000 0.0000 0.6523 Pd
0.5000 0.5000 0.1523 Pd
0.5000 0.5000 0.8477 Pd

=====

PBE-GGA Rb2AlPd, optimized geometry; symmetry = I-42d (122); ΔH_f (0 K) = 0.03 eV/atom; mass density = 2.5 g/cm³; calculated volume = 50.558 A^3/atom; electronic total energy = -43.1 eV for the cell shown
1.0
12.9898 0.0000 0.0000
0.0000 12.9898 0.0000
0.0000 0.0000 4.7941
Rb Al Pd
8 4 4
direct
0.0607 0.7500 0.1250 Rb
0.2500 0.0607 0.8750 Rb
0.2500 0.4393 0.3750 Rb
0.4393 0.7500 0.6250 Rb
0.5607 0.2500 0.6250 Rb
0.7500 0.5607 0.3750 Rb
0.7500 0.9393 0.8750 Rb
0.9393 0.2500 0.1250 Rb
0.0000 0.0000 0.5000 Al
0.0000 0.5000 0.7500 Al
0.5000 0.0000 0.2500 Al
0.5000 0.5000 0.0000 Al
0.0000 0.0000 0.0000 Pd
0.0000 0.5000 0.2500 Pd
0.5000 0.0000 0.7500 Pd
0.5000 0.5000 0.5000 Pd

=====

PBE-GGA RbAl2Pd2, optimized geometry; symmetry = P4/mbm (127); ΔH_f (0 K) = -0.33 eV/atom; mass density = 6.2 g/cm³; calculated volume = 19.009 A^3/atom; electronic total energy = -41.0 eV for the cell shown
1.0
8.1518 0.0000 0.0000
0.0000 8.1518 0.0000
0.0000 0.0000 2.8606
Rb Al Pd
2 4 4
direct
0.0000 0.0000 0.0000 Rb
0.5000 0.5000 0.0000 Rb
0.1205 0.3795 0.5000 Al
0.3795 0.8795 0.5000 Al
0.6205 0.1205 0.5000 Al
0.8795 0.6205 0.5000 Al
0.1635 0.6635 0.0000 Pd
0.3365 0.1635 0.0000 Pd
0.6635 0.8365 0.0000 Pd
0.8365 0.3365 0.0000 Pd

=====

PBE-GGA RbAlSb2Pd, optimized geometry; symmetry = P4/mmm (123); E_form (uncorrected) = 165 kJ/mol of atoms; mass density = 3.8 g/cm³; calculated volume = 40.554 A^3/atom; electronic total energy = -9.6 eV for the cell shown
1.0
5.9654 0.0000 0.0000
0.0000 5.9654 0.0000
0.0000 0.0000 5.6980
Rb Al Sb Pd
1 1 2 1
direct
0.0000 0.0000 0.0000 Rb
0.0000 0.0000 0.5000 Al
0.0000 0.5000 0.0000 Sb
0.5000 0.0000 0.0000 Sb
0.5000 0.5000 0.5000 Pd

=====

The highest calculated volume belongs to which entry? Rb2AlPd

=====

Which of these has the lowest electronic total energy? Pu2Al4ZnPd3

=====

electronic total energy of number 5 (RbAl2Pd2)? -41.2 eV for the cell shown